No. 1
First-principles (GGA-PBE) data for a relaxed structure of Li2LaSmTl2, as listed in Alexandria via LeMat-Bulk.

Summary:
- Symmetry: P-3m1 (164)
- Final energy: -0.1224 Ha/atom
- E_form: -29 kJ per mole of atoms
- Total moment: 0.1 μB per formula unit

a = 5.0821 Å, b = 5.0821 Å, c = 6.8485 Å
α = 90.00°, β = 90.00°, γ = 120.00°
Closest atoms and distances in Å follow each position.
Positions (direct):
Sm: 0.0000 0.0000 0.5000  6 Li 3.36, 6 Tl 3.37, 2 La 3.42
Tl: 0.3333 0.6667 0.7414  3 Li 2.93
Tl: 0.6667 0.3333 0.2586  3 Li 2.93
Li: 0.6667 0.3333 0.7388  3 Tl 2.93
Li: 0.3333 0.6667 0.2612  3 Tl 2.93
La: 0.0000 0.0000 0.0000  2 Sm 3.42, 6 Tl 3.43, 6 Li 3.44

No. 2
First-principles (GGA-PBE) data for a relaxed structure of Li2LaSm2Tl2, as listed in Alexandria via LeMat-Bulk.

Summary:
- Symmetry: R-3m (166)
- Final energy: -0.1282 Ha/atom
- E_form: -21 kJ per mole of atoms
- Total moment: 0.0 μB per formula unit

a = 4.9466 Å, b = 4.9466 Å, c = 9.5914 Å
α = 75.06°, β = 75.06°, γ = 60.00°
Closest atoms and distances in Å follow each position.
Positions (direct):
Sm: 0.8719 0.8719 0.3842  3 Tl 3.22, 3 Li 3.26, 1 La 3.52, 3 Sm 3.56
Sm: 0.1281 0.1281 0.6158  3 Tl 3.22, 3 Li 3.26, 1 La 3.52, 3 Sm 3.56
Tl: 0.2595 0.2595 0.2214  3 Li 2.86
Tl: 0.7405 0.7405 0.7786  3 Li 2.86
Li: 0.4038 0.4038 0.7886  3 Tl 2.86
Li: 0.5962 0.5962 0.2114  3 Tl 2.86
La: 0.0000 0.0000 0.0000  6 Li 3.45, 6 Tl 3.50, 2 Sm 3.52

No. 3
First-principles (GGA-PBE) data for a relaxed structure of LiLaSmY, as listed in Alexandria via LeMat-Bulk.

Summary:
- Symmetry: F-43m (216)
- Final energy: -0.1588 Ha/atom
- E_form: 18 kJ per mole of atoms
- Total moment: 0.0 μB per formula unit

a = 5.6339 Å, b = 5.6339 Å, c = 5.6339 Å
α = 60.00°, β = 60.00°, γ = 60.00°
Closest atoms and distances in Å follow each position.
Positions (direct):
Sm: 0.5000 0.5000 0.5000  4 La 3.45, 4 Y 3.45
La: 0.2500 0.2500 0.2500  4 Li 3.45, 4 Sm 3.45
Y: 0.7500 0.7500 0.7500  4 Li 3.45, 4 Sm 3.45
Li: 0.0000 0.0000 0.0000  4 Y 3.45, 4 La 3.45

No. 4
First-principles (GGA-PBE) data for a relaxed structure of Li4LaSn, as listed in Alexandria via LeMat-Bulk.

Summary:
- Symmetry: F-43m (216)
- Final energy: -0.1082 Ha/atom
- E_form: -17 kJ per mole of atoms
- Total moment: 0.0 μB per formula unit

a = 5.6290 Å, b = 5.6290 Å, c = 5.6290 Å
α = 60.00°, β = 60.00°, γ = 60.00°
Closest atoms and distances in Å follow each position.
Positions (direct):
Sn: 0.0000 0.0000 0.0000  12 Li 3.30, 4 La 3.45
Li: 0.6262 0.6262 0.6262  6 Li 2.79-2.84
Li: 0.1215 0.6262 0.6262  6 Li 2.79-2.84
Li: 0.6262 0.6262 0.1215  6 Li 2.79-2.84
Li: 0.6262 0.1215 0.6262  6 Li 2.79-2.84
La: 0.2500 0.2500 0.2500  12 Li 3.30, 4 Sn 3.45